# 1
VASP calculation (PBE-GGA) on an optimized crystal structure of K4CoBr7.

The structure in CIF format:
```
data_K4CoBr7
_cell_length_a 18.246
_cell_length_b 5.092
_cell_length_c 13.423
_cell_angle_alpha 90.00
_cell_angle_beta 129.70
_cell_angle_gamma 90.00
_space_group_name_H-M_alt 'C 1 2/m 1'
_space_group_IT_number 12
loop_
_space_group_symop_operation_xyz
'x,y,z'
'-x,-y,-z'
'-x,y,-z'
'x,-y,z'
'x+1/2,y+1/2,z'
'-x+1/2,-y+1/2,-z'
'-x+1/2,y+1/2,-z'
'x+1/2,-y+1/2,z'
loop_
_atom_site_label
_atom_site_type_symbol
_atom_site_fract_x
_atom_site_fract_y
_atom_site_fract_z
_atom_site_occupancy
K1 K 0.111 0.000 0.370 1
K2 K 0.216 0.500 0.832 1
Co1 Co 0.000 0.500 0.000 1
Br1 Br 0.000 0.000 0.000 1
Br2 Br 0.117 0.000 0.850 1
Br3 Br 0.147 0.500 0.199 1
Br4 Br 0.178 0.500 0.559 1
```

Formation energy without anion corrections ... -13.294 eV per formula unit
Total moment ... 6.048 Bohr magnetons per cell
D(E_F) ... 0.955 states/eV/atom


# 2
VASP calculation (PBE-GGA) on an optimized crystal structure of UCdCu2.

The structure in CIF format:
```
data_UCdCu2
_cell_length_a 2.921
_cell_length_b 2.921
_cell_length_c 8.010
_cell_angle_alpha 90.00
_cell_angle_beta 90.00
_cell_angle_gamma 90.00
_space_group_name_H-M_alt 'P 4/m m m'
_space_group_IT_number 123
_space_group_name_Hall '-P 4 2'
loop_
_atom_site_label
_atom_site_type_symbol
_atom_site_fract_x
_atom_site_fract_y
_atom_site_fract_z
_atom_site_occupancy
U1 U 0.000 0.000 0.000 1
Cd1 Cd 0.000 0.000 0.500 1
Cu1 Cu 0.500 0.500 0.266 1
```

Total moment ... 1.884 Bohr magnetons per cell
Formation energy ... 0.172 eV/atom
D(E_F) ... 1.567 states/eV/atom